# Ce6Tl2Tc, optimized geometry, DFT GGA-PBE
# DFT formation energy, eV/atom: -0.154
# Total magnetization, μB/f.u.: 0.0
data_Ce6Tl2Tc
_symmetry_space_group_name_H-M 'P 1'
_symmetry_Int_Tables_number 1
_symmetry_space_group_name_Hall 'P 1'
_cell_length_a 7.747
_cell_length_b 7.206
_cell_length_c 8.715
_cell_angle_alpha 90.00
_cell_angle_beta 90.50
_cell_angle_gamma 90.00
loop_
_atom_site_label
_atom_site_type_symbol
_atom_site_fract_x
_atom_site_fract_y
_atom_site_fract_z
_atom_site_occupancy
Tl1 Tl 0.989 0.500 0.249 1
Tl2 Tl 0.511 0.000 0.251 1
Tl3 Tl 0.489 0.000 0.749 1
Tl4 Tl 0.011 0.500 0.751 1
Ce1 Ce 0.248 0.248 0.010 1
Ce2 Ce 0.252 0.748 0.490 1
Ce3 Ce 0.752 0.752 0.990 1
Ce4 Ce 0.437 0.500 0.681 1
Ce5 Ce 0.937 0.000 0.181 1
Ce6 Ce 0.563 0.500 0.319 1
Ce7 Ce 0.748 0.748 0.510 1
Ce8 Ce 0.752 0.248 0.990 1
Ce9 Ce 0.252 0.252 0.490 1
Ce10 Ce 0.248 0.752 0.010 1
Ce11 Ce 0.063 0.000 0.819 1
Ce12 Ce 0.748 0.252 0.510 1
Tc1 Tc 0.500 0.500 0.000 1
Tc2 Tc 0.000 0.000 0.500 1